No. 1
! BaCeIr, optimized geometry, DFT PBE; values from VASP
&SYSTEM
  ibrav = 0, nat = 3, ntyp = 3
/
ATOMIC_SPECIES
Ba 137.33 Ba.upf
Ce 140.12 Ce.upf
Ir 192.22 Ir.upf
CELL_PARAMETERS angstrom
4.530 0.000 0.000
-2.265 3.923 0.000
0.000 0.000 5.691
ATOMIC_POSITIONS crystal
Ba 0.000 0.000 0.000
Ce 0.667 0.333 0.500
Ir 0.333 0.667 0.501
! Crystal system = trigonal
! Formation energy from the elements = -236.4 meV per atom
! Symmetry = P3m1, No. 156
! Spin magnetization = 0.3976 μB per atom

No. 2
! BaCe2IrO8, optimized geometry, DFT PBE; values from VASP
&SYSTEM
  ibrav = 0, nat = 12, ntyp = 4
/
ATOMIC_SPECIES
Ba 137.33 Ba.upf
Ce 140.12 Ce.upf
Ir 192.22 Ir.upf
O 16.00 O.upf
CELL_PARAMETERS angstrom
5.155 0.000 0.000
0.000 7.228 0.000
-0.215 0.000 5.163
ATOMIC_POSITIONS crystal
Ba 0.000 0.000 0.000
Ce 0.500 0.252 0.500
Ce 0.500 0.748 0.500
Ir 0.000 0.500 0.000
O 0.201 0.311 0.189
O 0.201 0.689 0.189
O 0.260 0.500 0.730
O 0.321 0.000 0.648
O 0.679 0.000 0.352
O 0.740 0.500 0.270
O 0.799 0.311 0.811
O 0.799 0.689 0.811
! Crystal system = monoclinic
! Symmetry = P2/m, No. 10
! Energy relative to the elements, uncorrected = -2246 meV per atom
! Spin magnetization = 0.2166 μB per atom

No. 3
! BaCeIrO6, optimized geometry, DFT PBE; values from VASP
&SYSTEM
  ibrav = 0, nat = 18, ntyp = 4
/
ATOMIC_SPECIES
Ba 137.33 Ba.upf
Ce 140.12 Ce.upf
Ir 192.22 Ir.upf
O 16.00 O.upf
CELL_PARAMETERS angstrom
-3.622 3.733 5.010
3.622 -3.733 5.010
3.622 3.733 -5.010
ATOMIC_POSITIONS crystal
Ba 0.339 0.089 0.250
Ba 0.661 0.911 0.750
Ce 0.000 0.500 0.500
Ce 0.500 0.500 0.000
Ir 0.000 0.000 0.500
Ir 0.000 0.500 0.000
O 0.050 0.327 0.142
O 0.050 0.908 0.723
O 0.081 0.331 0.750
O 0.314 0.092 0.642
O 0.314 0.673 0.223
O 0.363 0.613 0.750
O 0.637 0.387 0.250
O 0.686 0.327 0.777
O 0.686 0.908 0.358
O 0.919 0.669 0.250
O 0.950 0.092 0.277
O 0.950 0.673 0.858
! Crystal system = orthorhombic
! Symmetry = Imma, No. 74
! Energy relative to the elements, uncorrected = -2039 meV per atom
! Spin magnetization = 0.2684 μB per atom

Density of states at the Fermi level? In order: 5.18; 3.64; 5.16 states/eV/f.u..
Calculated volume? In order: 33.71; 16.03; 15.05 Å³/atom.